Material: K3NiI6
Method: DFT, PBE-GGA
State: optimized geometry

```
K3NiI6
1.0
8.1785 0.0000 0.2954
0.0000 8.9507 0.0000
0.5147 0.0000 11.4758
K Ni I
6 2 12
Cartesian
4.7471 8.3290 8.8905 K
4.0893 4.4754 0.1477 K
3.9461 0.6217 2.8808 K
0.4005 5.0971 3.0049 K
0.2573 0.0000 5.7379 K
8.2927 3.8537 8.7664 K
4.3466 4.4754 5.8856 Ni
0.0000 0.0000 0.0000 Ni
6.5479 1.4660 11.3618 I
5.7766 2.1156 6.9046 I
5.2118 3.8922 3.4863 I
3.4814 5.0585 8.2849 I
2.9166 6.8351 4.8666 I
2.1453 7.4847 0.4094 I
2.2013 3.0094 5.4762 I
1.4300 2.3597 1.0190 I
1.3799 0.5831 9.0765 I
7.3133 8.3676 2.6947 I
7.2632 6.5910 10.7522 I
6.4919 5.9414 6.2950 I
```

The calculated volume comes out at 839 Å³ per cell. For the formation energy from raw total energies, the calculation gives -833 meV/atom. The calculation puts the density of states at the Fermi level at 0.090 states/eV/atom. As for the size of the total moment: 1.8 μB/cell.

Material: KNi2I
Method: DFT, PBE-GGA
State: optimized geometry

```
KNi2I
1.0
3.7240 -1.3812 2.6638
0.8741 2.1459 4.1836
-0.7333 -2.3574 4.0959
I Ni K
1 2 1
Cartesian
1.9324 -0.7963 5.4716 I
0.9662 -0.3982 2.7358 Ni
2.8986 -1.1945 8.2075 Ni
0.0000 0.0000 0.0000 K
```

For the energy above the most stable polymorph in this dataset, the calculation gives 513 meV/atom. The calculated volume comes out at 77 Å³ per cell. For the formation energy from raw total energies, the calculation gives 779 meV/atom. The calculation puts the density of states at the Fermi level at 0.502 states/eV/atom. As for the size of the total moment: 0.0 μB/cell.

Material: KNi2I
Method: DFT, PBE-GGA
State: optimized geometry

```
KNi2I
1.0
-2.8825 -1.2922 -4.0553
-3.9683 -0.9548 3.1249
-5.8746 6.6487 -1.2008
I Ni K
2 4 2
Cartesian
0.0000 0.0000 0.0000 I
-6.0912 2.1165 -2.8607 I
-4.4863 0.4124 -3.4573 Ni
-6.4715 -0.0655 -1.8963 Ni
-5.9837 4.3824 -2.0302 Ni
-7.4234 3.7367 -4.0590 Ni
-3.4254 -1.1235 -0.4652 K
-6.6342 2.2852 0.7294 K
```

For the energy above the most stable polymorph in this dataset, the calculation gives 0 meV/atom. The calculated volume comes out at 216 Å³ per cell. For the formation energy from raw total energies, the calculation gives 266 meV/atom. The calculation puts the density of states at the Fermi level at 0.262 states/eV/atom. As for the size of the total moment: 0.0 μB/cell.